First-principles (PBE) data for a geometry-optimized DyHoTmMg structure, as listed in the Alexandria database.

Lattice parameters (Å, degrees): 5.4595 5.4595 5.4595 60.00 60.00 60.00
With the nearest neighbours (Å) after each atom.
Atoms (fractional coordinates):
Dy 0.0000 0.0000 0.0000  4 Mg 3.34, 4 Tm 3.34
Ho 0.5000 0.5000 0.5000  4 Mg 3.34, 4 Tm 3.34
Tm 0.2500 0.2500 0.2500  4 Dy 3.34, 4 Ho 3.34
Mg 0.7500 0.7500 0.7500  4 Dy 3.34, 4 Ho 3.34

Output
- Energy relative to the lowest polymorph listed for this composition: 0.062 eV/atom
- Formation energy from the elements: 4 kJ per mole of atoms
- Electronic total energy: -15.1 eV for the cell shown
- Space-group type: F-43m (216)

First-principles (PBE) data for a geometry-optimized Tb6In2Pb structure, as listed in the Alexandria database.

Lattice parameters (Å, degrees): 9.0223 9.0223 9.0223 146.40 131.88 59.97
With the nearest neighbours (Å) after each atom.
Atoms (fractional coordinates):
Tb 0.0778 0.3309 0.7469  3 In 3.17-3.18, 1 Pb 3.23
Tb 0.2444 0.0000 0.2444  2 In 3.16, 2 Pb 3.22
Tb 0.4159 0.6691 0.7469  3 In 3.17-3.18, 1 Pb 3.23
Tb 0.5841 0.3309 0.2531  3 In 3.17-3.18, 1 Pb 3.23
Tb 0.7556 0.0000 0.7556  2 In 3.16, 2 Pb 3.22
Tb 0.9222 0.6691 0.2531  3 In 3.17-3.18, 1 Pb 3.23
In 0.1666 0.1666 0.0000  8 Tb 3.16-3.18
In 0.8334 0.8334 0.0000  8 Tb 3.16-3.18
Pb 0.5000 0.5000 0.0000  8 Tb 3.22-3.23

Output
- Formation energy from the elements: -14 kJ per mole of atoms
- Electronic total energy: -38.3 eV for the cell shown
- Space-group type: Immm (71)

First-principles (PBE) data for a geometry-optimized YMg6BiO8 structure, as listed in the Alexandria database.

Lattice parameters (Å, degrees): 4.4644 4.4644 10.3526 90.00 90.00 90.00
With the nearest neighbours (Å) after each atom.
Atoms (fractional coordinates):
Y 0.0000 0.0000 0.0000  6 O 2.23-2.26
Mg 0.0000 0.5000 0.2644  5 O 2.24-2.44
Mg 0.0000 0.5000 0.7356  5 O 2.24-2.44
Mg 0.5000 0.0000 0.2644  5 O 2.24-2.44
Mg 0.5000 0.0000 0.7356  5 O 2.24-2.44
Mg 0.5000 0.5000 0.0000  4 O 2.23
Mg 0.5000 0.5000 0.5000  6 O 2.23
Bi 0.0000 0.0000 0.5000  4 O 2.23
O 0.0000 0.0000 0.2182  1 Y 2.26, 4 Mg 2.28
O 0.0000 0.0000 0.7818  1 Y 2.26, 4 Mg 2.28
O 0.0000 0.5000 0.0000  2 Mg 2.23, 2 Y 2.23
O 0.0000 0.5000 0.5000  4 Mg 2.23-2.44, 2 Bi 2.23
O 0.5000 0.0000 0.0000  2 Mg 2.23, 2 Y 2.23
O 0.5000 0.0000 0.5000  4 Mg 2.23-2.44, 2 Bi 2.23
O 0.5000 0.5000 0.2849  5 Mg 2.23-2.24
O 0.5000 0.5000 0.7151  5 Mg 2.23-2.24

Output
- Energy relative to the lowest polymorph listed for this composition: 0.029 eV/atom
- Formation energy (no corrections): -3279.2 kJ/mol of formula units
- Electronic total energy: -93.6 eV for the cell shown
- Space-group type: P4/mmm (123)

First-principles (PBE) data for a geometry-optimized CeAlGaRu structure, as listed in the Alexandria database.

Lattice parameters (Å, degrees): 5.6145 5.6145 5.6145 44.93 44.93 44.93
With the nearest neighbours (Å) after each atom.
Atoms (fractional coordinates):
Ce 0.0000 0.0000 0.0000  4 Al 3.11-3.16, 4 Ga 3.12-3.14, 3 Ru 3.16
Al 0.7911 0.7911 0.7911  3 Ru 2.48
Ga 0.2078 0.2078 0.2078  3 Ru 2.75, 3 Al 2.78
Ru 0.4629 0.4629 0.4629  3 Al 2.48, 3 Ga 2.75

Output
- Formation energy from the elements: -41 kJ per mole of atoms
- Electronic total energy: -23.7 eV for the cell shown
- Space-group type: R3m (160)

> Which formula does entry 1 have?

DyHoTmMg